Version a
A relaxed PdW3Se crystal, computed with PBE.

The value obtained for the calculated volume is 21.6 Å³ per atom. The size of the total moment comes out at 0.0 Bohr magnetons per cell.

a = 4.764 Å, b = 4.764 Å, c = 4.764 Å
α = 90.00°, β = 90.00°, γ = 90.00°
Fractional positions:
Pd: 0.000 0.000 0.000
W: 0.500 0.000 0.000
W: 0.000 0.000 0.500
Se: 0.500 0.500 0.500
W: 0.000 0.500 0.000

Version b
A relaxed PdW3Se crystal, computed with PBE.

The value obtained for the calculated volume is 19.1 Å³ per atom. The size of the total moment comes out at 0.0 Bohr magnetons per cell.

a = 4.572 Å, b = 4.572 Å, c = 4.572 Å
α = 90.00°, β = 90.00°, γ = 90.00°
Fractional positions:
W: 0.500 0.000 0.000
Pd: 0.500 0.500 0.500
W: 0.000 0.500 0.000
Se: 0.000 0.000 0.000
W: 0.000 0.000 0.500

What are the relative energies? In kJ/mol of atoms: version a 70.6; version b 0.0.

Version a
A relaxed YPd3Se crystal, computed with PBE.

The value obtained for the calculated volume is 21.1 Å³ per atom. The size of the total moment comes out at 0.0 Bohr magnetons per cell.

a = 4.729 Å, b = 4.729 Å, c = 4.729 Å
α = 90.00°, β = 90.00°, γ = 90.00°
Fractional positions:
Pd: 0.500 0.000 0.000
Se: 0.000 0.000 0.000
Pd: 0.000 0.000 0.500
Pd: 0.000 0.500 0.000
Y: 0.500 0.500 0.500

Version b
A relaxed YPd3Se crystal, computed with PBE.

The value obtained for the calculated volume is 25.6 Å³ per atom. The size of the total moment comes out at 0.0 Bohr magnetons per cell.

a = 5.037 Å, b = 5.037 Å, c = 5.037 Å
α = 90.00°, β = 90.00°, γ = 90.00°
Fractional positions:
Y: 0.000 0.000 0.000
Pd: 0.500 0.000 0.000
Pd: 0.000 0.500 0.000
Pd: 0.000 0.000 0.500
Se: 0.500 0.500 0.500

What are the relative energies? In kJ/mol of atoms: version a 0.0; version b 97.5.

Version a
A relaxed YPdSe3 crystal, computed with PBE.

The value obtained for the calculated volume is 32.1 Å³ per atom. The size of the total moment comes out at 2.5 Bohr magnetons per cell.

a = 5.437 Å, b = 5.437 Å, c = 5.437 Å
α = 90.00°, β = 90.00°, γ = 90.00°
Site moments in Bohr magnetons follow the coordinates.
Fractional positions:
Se: 0.000 0.000 0.500  0.44
Pd: 0.500 0.500 0.500  0.62
Se: 0.000 0.500 0.000  0.48
Se: 0.500 0.000 0.000  0.33
Y: 0.000 0.000 0.000  -0.03

Version b
A relaxed YPdSe3 crystal, computed with PBE.

The value obtained for the calculated volume is 24.0 Å³ per atom. The size of the total moment comes out at 0.0 Bohr magnetons per cell.

a = 4.931 Å, b = 4.931 Å, c = 4.931 Å
α = 90.00°, β = 90.00°, γ = 90.00°
Fractional positions:
Se: 0.500 0.000 0.000
Y: 0.500 0.500 0.500
Se: 0.000 0.000 0.500
Pd: 0.000 0.000 0.000
Se: 0.000 0.500 0.000

What are the relative energies? In kJ/mol of atoms: version a 54.1; version b 0.0.